[1]
Cs2AuBr7 | PBE-GGA | relaxed

Summary:
DOS(E_F) in states/eV/f.u.: 0.00
Energy relative to the elements, uncorrected in meV/atom: -840.5
Size of the total moment in Bohr magnetons per cell: 0.0

Unit cell a=8.2150 b=8.2150 c=11.7014 alpha=90.00 beta=90.00 gamma=90.00
With the nearest neighbours (Å) after each atom.
Space group I4/mmm (No. 139)
Asymmetric unit:
Cs 0.0000 0.5000 0.2500 x4  12 Br 4.12-4.14
Au 0.0000 0.0000 0.0000 x2  4 Br 2.49
Br 0.0000 0.0000 0.2796 x4  1 Br 2.58
Br 0.0000 0.0000 0.5000 x2  2 Br 2.58
Br 0.2146 0.2146 0.0000 x8  1 Au 2.49

[2]
YAlP2 | PBE-GGA | relaxed

Summary:
DOS(E_F) in states/eV/f.u.: 1.24
Energy relative to the elements in eV per atom: -0.6745
Size of the total moment in Bohr magnetons per cell: 0.0

Unit cell a=3.6752 b=3.7917 c=5.6988 alpha=90.00 beta=90.00 gamma=90.00
With the nearest neighbours (Å) after each atom.
Space group Pmmm (No. 47)
Asymmetric unit:
Y 0.0000 0.0000 0.0000 x1  8 P 2.92
Al 0.0000 0.5000 0.5000 x1  4 P 2.43
P 0.5000 0.5000 0.2209 x2  2 Al 2.43, 1 P 2.52

[3]
DyY2Rh2 | PBE-GGA | relaxed

Summary:
DOS(E_F) in states/eV/f.u.: 3.59
ΔE to the lowest computed polymorph in kJ/mol of atoms: 9.8
Energy relative to the elements in eV per atom: -0.5966
Size of the total moment in Bohr magnetons per cell: 0.0

Unit cell a=3.8205 b=26.4020 c=4.6198 alpha=90.00 beta=90.00 gamma=90.00
With the nearest neighbours (Å) after each atom.
Space group Cmcm (No. 63)
Asymmetric unit:
Dy 0.0000 0.1366 0.2500 x4  1 Rh 2.73
Y 0.0000 0.2346 0.7500 x4  2 Rh 2.74
Y 0.0000 0.4479 0.2500 x4  7 Rh 2.86-3.04
Rh 0.0000 0.0332 0.2500 x4  1 Dy 2.73, 2 Rh 2.90, 6 Y 2.95-3.04
Rh 0.0000 0.3397 0.2500 x4  3 Y 2.74-2.86, 4 Dy 3.06

[4]
MgTlCl | PBE-GGA | relaxed

Summary:
DOS(E_F) in states/eV/f.u.: 0.87
Energy relative to the elements, uncorrected in meV/atom: -643.9
ΔE to the lowest computed polymorph in kJ/mol of atoms: 12.1
Size of the total moment in Bohr magnetons per cell: 0.0

Unit cell a=3.3483 b=3.3483 c=15.8762 alpha=90.00 beta=90.00 gamma=90.00
With the nearest neighbours (Å) after each atom.
Space group I4mm (No. 107)
Asymmetric unit:
Mg 0.0000 0.0000 0.0000 x2  4 Cl 2.71
Tl 0.0000 0.0000 0.6538 x2  4 Tl 3.35, 4 Mg 3.40
Cl 0.0000 0.0000 0.4163 x2  4 Mg 2.71

Q: Which E values were calculated for the entries above? A: -2.5100; -5.9311; -7.0432; -2.5798, in eV per atom.